(1)
Gd2HoAl7Ag2: relaxed, PBE.

Cell lengths 9.3595, 9.3595, 9.3595 Å; angles 34.55, 34.55, 34.55 degrees
Fractional positions:
Gd: 0.1420 0.1420 0.1420
Gd: 0.8580 0.8580 0.8580
Ho: 0.0000 0.0000 0.0000
Al: 0.0756 0.5873 0.5873
Al: 0.4127 0.4127 0.9244
Al: 0.4127 0.9244 0.4127
Al: 0.5000 0.5000 0.5000
Al: 0.5873 0.0756 0.5873
Al: 0.5873 0.5873 0.0756
Al: 0.9244 0.4127 0.4127
Ag: 0.3358 0.3358 0.3358
Ag: 0.6642 0.6642 0.6642

Output
**Symmetry**: No. 166
**Final energy**: -51.16 eV per cell

---

(2)
Gd2HoAl3AgIr2: relaxed, PBE.

Cell lengths 4.1629, 7.0488, 7.0488 Å; angles 119.57, 90.00, 90.00 degrees
Fractional positions:
Gd: 0.0000 0.2111 0.7889
Gd: 0.0000 0.7889 0.2111
Ho: 0.0000 0.6332 0.6332
Al: 0.5000 0.2109 0.4635
Al: 0.5000 0.4635 0.2109
Al: 0.5000 0.9599 0.9599
Ag: 0.0000 0.2151 0.2151
Ir: 0.5000 0.5465 0.8739
Ir: 0.5000 0.8739 0.5465

Output
**Symmetry**: No. 38
**Final energy**: -52.03 eV per cell

---

(3)
GdHo2Al3NiAg2: relaxed, PBE.

Cell lengths 4.1262, 7.1730, 7.1730 Å; angles 120.03, 90.00, 90.00 degrees
Fractional positions:
Gd: 0.0000 0.0000 0.0000
Ho: 0.0000 0.2042 0.6010
Ho: 0.0000 0.6010 0.2042
Al: 0.5000 0.3773 0.3773
Al: 0.5000 0.6002 0.8229
Al: 0.5000 0.8229 0.6002
Ni: 0.0000 0.5974 0.5974
Ag: 0.5000 0.2704 0.9329
Ag: 0.5000 0.9329 0.2704

Output
**Symmetry**: No. 38
**Final energy**: -40.69 eV per cell

---

(4)
Gd2HoAl3AgPt2: relaxed, PBE.

Cell lengths 3.9328, 7.3593, 7.3593 Å; angles 119.89, 90.00, 90.00 degrees
Fractional positions:
Gd: 0.0000 0.2076 0.7924
Gd: 0.0000 0.7924 0.2076
Ho: 0.0000 0.3761 0.3761
Al: 0.5000 0.0497 0.0497
Al: 0.5000 0.5343 0.7903
Al: 0.5000 0.7903 0.5343
Ag: 0.0000 0.7896 0.7896
Pt: 0.5000 0.1279 0.4576
Pt: 0.5000 0.4576 0.1279

Output
**Symmetry**: No. 38
**Final energy**: -47.84 eV per cell

---

(5)
GdHo2Al3AgPt2: relaxed, PBE.

Cell lengths 3.9141, 7.3543, 7.3543 Å; angles 120.16, 90.00, 90.00 degrees
Fractional positions:
Gd: 0.0000 0.0000 0.0000
Ho: 0.0000 0.1696 0.5853
Ho: 0.0000 0.5853 0.1696
Al: 0.5000 0.3273 0.3273
Al: 0.5000 0.5833 0.8426
Al: 0.5000 0.8426 0.5833
Ag: 0.0000 0.5824 0.5824
Pt: 0.5000 0.2537 0.9170
Pt: 0.5000 0.9170 0.2537

Output
**Symmetry**: No. 38
**Final energy**: -47.84 eV per cell

---

(6)
TbGd2Al3AgIr2: relaxed, PBE.

Cell lengths 4.1797, 7.0661, 7.0661 Å; angles 119.85, 90.00, 90.00 degrees
Fractional positions:
Tb: 0.0000 0.0000 0.0000
Gd: 0.0000 0.4222 0.8448
Gd: 0.0000 0.8448 0.4222
Al: 0.5000 0.1709 0.4224
Al: 0.5000 0.4224 0.1709
Al: 0.5000 0.6734 0.6734
Ag: 0.0000 0.4210 0.4210
Ir: 0.5000 0.0883 0.7570
Ir: 0.5000 0.7570 0.0883

Output
**Symmetry**: No. 38
**Final energy**: -52.03 eV per cell

---

(7)
Tb2GdAl3AgIr2: relaxed, PBE.

Cell lengths 4.1646, 7.0777, 7.0777 Å; angles 120.13, 90.00, 90.00 degrees
Fractional positions:
Tb: 0.0000 0.2109 0.7891
Tb: 0.0000 0.7891 0.2109
Gd: 0.0000 0.6327 0.6327
Al: 0.5000 0.2108 0.4631
Al: 0.5000 0.4631 0.2108
Al: 0.5000 0.9585 0.9585
Ag: 0.0000 0.2096 0.2096
Ir: 0.5000 0.5436 0.8788
Ir: 0.5000 0.8788 0.5436

Output
**Symmetry**: No. 38
**Final energy**: -52.04 eV per cell

---

(8)
Gd2YAl3AgIr2: relaxed, PBE.

Cell lengths 4.1674, 7.0843, 7.0843 Å; angles 120.14, 90.00, 90.00 degrees
Fractional positions:
Gd: 0.0000 0.2109 0.7891
Gd: 0.0000 0.7891 0.2109
Y: 0.0000 0.3678 0.3678
Al: 0.5000 0.0433 0.0433
Al: 0.5000 0.5359 0.7867
Al: 0.5000 0.7867 0.5359
Ag: 0.0000 0.7889 0.7889
Ir: 0.5000 0.1208 0.4556
Ir: 0.5000 0.4556 0.1208

Output
**Symmetry**: No. 38
**Final energy**: -53.86 eV per cell

---

(9)
GdLu2Al7Ag2: relaxed, PBE.

Cell lengths 9.3048, 9.3048, 9.3048 Å; angles 34.45, 34.45, 34.45 degrees
Fractional positions:
Gd: 0.0000 0.0000 0.0000
Lu: 0.1426 0.1426 0.1426
Lu: 0.8574 0.8574 0.8574
Al: 0.0768 0.5885 0.5885
Al: 0.4115 0.4115 0.9232
Al: 0.4115 0.9232 0.4115
Al: 0.5000 0.5000 0.5000
Al: 0.5885 0.0768 0.5885
Al: 0.5885 0.5885 0.0768
Al: 0.9232 0.4115 0.4115
Ag: 0.3355 0.3355 0.3355
Ag: 0.6645 0.6645 0.6645

Output
**Symmetry**: No. 166
**Final energy**: -50.85 eV per cell

---

(10)
NdGd2Al3AgPt2: relaxed, PBE.

Cell lengths 4.1524, 7.2704, 7.2704 Å; angles 120.19, 90.00, 90.00 degrees
Fractional positions:
Nd: 0.0000 0.0000 0.0000
Gd: 0.0000 0.4178 0.8372
Gd: 0.0000 0.8372 0.4178
Al: 0.5000 0.1711 0.4214
Al: 0.5000 0.4214 0.1711
Al: 0.5000 0.6663 0.6663
Ag: 0.0000 0.4232 0.4232
Pt: 0.5000 0.0872 0.7470
Pt: 0.5000 0.7470 0.0872

Output
**Symmetry**: No. 38
**Final energy**: -47.77 eV per cell

---

(11)
Gd2TmAl3NiAg2: relaxed, PBE.

Cell lengths 4.1351, 7.1774, 7.1774 Å; angles 119.83, 90.00, 90.00 degrees
Fractional positions:
Gd: 0.0000 0.1993 0.8007
Gd: 0.0000 0.8007 0.1993
Tm: 0.0000 0.4064 0.4064
Al: 0.5000 0.0217 0.0217
Al: 0.5000 0.5768 0.7996
Al: 0.5000 0.7996 0.5768
Ni: 0.0000 0.7949 0.7949
Ag: 0.5000 0.1389 0.4647
Ag: 0.5000 0.4647 0.1389

Output
**Symmetry**: No. 38
**Final energy**: -40.63 eV per cell

---

(12)
GdTm2Al3NiAg2: relaxed, PBE.

Cell lengths 4.1166, 7.1449, 7.1449 Å; angles 120.18, 90.00, 90.00 degrees
Fractional positions:
Gd: 0.0000 0.0000 0.0000
Tm: 0.0000 0.2026 0.5993
Tm: 0.0000 0.5993 0.2026
Al: 0.5000 0.3741 0.3741
Al: 0.5000 0.5984 0.8217
Al: 0.5000 0.8217 0.5984
Ni: 0.0000 0.5933 0.5933
Ag: 0.5000 0.2703 0.9301
Ag: 0.5000 0.9301 0.2703

Output
**Symmetry**: No. 38
**Final energy**: -40.51 eV per cell